# 1
Entry from Alexandria via LeMat-Bulk: an optimized crystal structure of ZrAlCu4 (PBEsol).

Cell: 4.117 4.117 5.682 Å, 90.00 90.00 120.00°
Positions (direct):
Cu (0.333, 0.667, 0.773)
Zr (0.000, 0.000, 0.500)
Al (0.000, 0.000, 0.000)
Cu (0.333, 0.667, 0.227)
Cu (0.667, 0.333, 0.773)
Cu (0.667, 0.333, 0.227)

**Final energy**: -31.5 eV/cell
**Formation energy from the elements**: -167.8 meV per atom

# 2
Entry from Alexandria via LeMat-Bulk: an optimized crystal structure of As2Pb (PBEsol).

Cell: 3.554 3.554 6.601 Å, 90.00 90.00 120.00°
Positions (direct):
As (0.667, 0.333, 0.610)
As (0.333, 0.667, 0.390)
Pb (0.000, 0.000, 0.000)

**Distance to the lowest polymorph of the same formula**: 13 meV per atom
**Final energy**: -14.0 eV/cell
**Formation energy from the elements**: 62.0 meV per atom

# 3
Entry from Alexandria via LeMat-Bulk: an optimized crystal structure of ZrCd2Hg (PBEsol).

Cell: 2.991 4.550 6.225 Å, 90.00 104.08 90.00°
Positions (direct):
Cd (0.557, 0.500, 0.236)
Zr (0.302, 0.500, 0.729)
Cd (0.946, 0.000, 0.015)
Hg (0.696, 0.000, 0.520)

**Final energy**: -12.6 eV/cell
**Formation energy from the elements**: -137.5 meV per atom

# 4
Entry from Alexandria via LeMat-Bulk: an optimized crystal structure of Cr3CuBr (PBEsol).

Cell: 4.256 4.256 4.256 Å, 90.00 90.00 90.00°
Positions (direct):
Cr (0.000, 0.500, 0.000)
Cr (0.500, 0.000, 0.000)
Br (0.000, 0.000, 0.000)
Cr (0.000, 0.000, 0.500)
Cu (0.500, 0.500, 0.500)

**Distance to the lowest polymorph of the same formula**: 229 meV per atom
**Formation energy from raw total energies**: 1601 meV per atom
**Final energy**: -28.9 eV/cell